Ho3Tm4Th5 | PBE | relaxed

Crystal system   monoclinic
Spin magnetization   0.000 μB per atom
Calculated formation energy   0.327 eV/atom

```
Ho3Tm4Th5
1.0
5.565 -2.736 0.000
5.565 2.736 0.000
-3.859 0.000 12.753
Ho Tm Th
3 4 5
Cartesian
0.000 0.000 0.000
-1.015 0.000 11.373
8.286 0.000 1.379
0.801 0.000 3.383
4.208 0.000 2.860
3.063 0.000 9.893
6.470 0.000 9.369
-1.352 0.000 8.005
1.927 0.000 6.772
5.565 0.000 0.000
5.343 0.000 5.981
8.623 0.000 4.748
```